[1]
Sc6BiTe3As2 (PBE, relaxed); uncorrected energy = -74.61 eV/cell
1.0
-3.868 0.588 1.070
-2.392 -5.556 -5.591
3.243 -5.162 6.875
Sc As Te Bi
6 2 3 1
Cartesian
-1.769 -2.054 2.423
-0.188 -5.554 2.375
-2.436 -8.535 3.573
-0.580 -1.596 -1.219
-2.828 -4.576 -0.020
-1.247 -8.076 -0.068
-2.649 -6.600 1.741
-0.367 -3.530 0.614
-1.441 -3.926 4.636
-1.575 -6.205 -2.282
-3.130 -2.484 -2.260
-1.934 0.294 0.535

---

[2]
Pa2TiRe (PBE, relaxed); uncorrected energy = -38.68 eV/cell; calculated formation energy = 164 meV/atom; relative energy among the computed polymorphs = 13 meV per atom
1.0
4.911 0.000 0.000
2.456 4.253 0.000
2.456 1.418 4.010
Pa Re Ti
2 1 1
Cartesian
2.456 1.418 1.003
7.367 4.253 3.008
0.000 0.000 0.000
4.911 2.836 2.005

---

[3]
Sr3GeN3 (PBE, relaxed); uncorrected energy = -148.68 eV/cell
1.0
5.916 0.000 0.000
-2.958 8.180 0.000
0.000 0.000 10.393
N Sr Ge
12 12 4
Cartesian
1.849 2.442 6.368
-1.108 5.737 6.368
1.104 0.000 9.483
4.811 0.000 0.910
1.849 5.737 9.222
4.062 0.000 6.107
4.066 2.442 4.026
1.108 2.442 1.171
1.854 0.000 4.287
1.108 5.737 4.026
4.807 2.442 9.222
-1.849 5.737 1.171
0.932 5.186 1.445
5.175 0.000 3.560
3.890 5.186 3.752
2.217 0.000 1.636
2.026 5.186 6.641
0.932 2.993 3.752
3.890 2.993 1.445
0.741 0.000 6.833
-0.932 2.993 6.641
3.699 0.000 8.757
2.026 2.993 8.949
-0.932 5.186 8.949
2.958 1.411 5.197
2.958 6.769 0.000
0.000 1.411 0.000
0.000 6.769 5.197

---

[4]
Y3Cu4Au2 (PBE, relaxed); uncorrected energy = -46.49 eV/cell; calculated formation energy = -461 meV/atom
1.0
4.425 0.000 0.000
-2.212 4.937 -1.664
0.000 -0.508 8.341
Y Cu Au
3 4 2
Cartesian
0.000 3.155 1.627
0.000 0.000 0.000
2.212 1.273 5.051
2.212 2.227 -0.360
0.000 0.353 3.125
2.212 4.075 3.552
0.000 2.201 7.038
0.000 3.421 4.738
2.212 1.008 1.940

---

no.,ρ (g cm⁻³)
1,5.774
2,13.799
3,4.986
4,8.512